Compound: ZnAu5
Source: Alexandria via LeMat-Bulk
Functional: GGA-PBEsol
Structure: optimized geometry

Calculated values
M_tot   0.00 μB per formula unit
Energy of formation from the pure elements   -42 kJ/mol of formula units

a b c (Å): 4.651 2.988 14.240
angles (deg): 90.00 90.00 90.00
Space group Amm2 (No. 38)
Unique sites:
Zn: 0.000 0.000 0.000 (multiplicity 2)
Au: 0.000 0.000 0.340 (multiplicity 2)
Au: 0.000 0.000 0.661 (multiplicity 2)
Au: 0.500 0.000 0.119 (multiplicity 2)
Au: 0.500 0.000 0.454 (multiplicity 2)
Au: 0.500 0.000 0.786 (multiplicity 2)

***

Compound: ZnAu2
Source: Alexandria via LeMat-Bulk
Functional: GGA-PBEsol
Structure: optimized geometry

Calculated values
M_tot   0.00 μB per formula unit
Energy of formation from the pure elements   -49 kJ/mol of formula units

a b c (Å): 2.925 2.925 11.081
angles (deg): 90.00 90.00 90.00
Space group I4/mmm (No. 139)
Unique sites:
Zn: 0.000 0.000 0.000 (multiplicity 2)
Au: 0.000 0.000 0.344 (multiplicity 4)

***

Compound: ZnAu2
Source: Alexandria via LeMat-Bulk
Functional: GGA-PBEsol
Structure: optimized geometry

Calculated values
M_tot   0.00 μB per formula unit
Energy of formation from the pure elements   -27 kJ/mol of formula units

a b c (Å): 5.596 5.596 6.463
angles (deg): 90.00 90.00 90.00
Space group I4/mcm (No. 140)
Unique sites:
Zn: 0.000 0.000 0.250 (multiplicity 4)
Au: 0.173 0.327 0.000 (multiplicity 8)

***

Compound: ZnAu
Source: Alexandria via LeMat-Bulk
Functional: GGA-PBEsol
Structure: optimized geometry

Calculated values
M_tot   0.00 μB per formula unit
Energy of formation from the pure elements   -44 kJ/mol of formula units

a b c (Å): 3.801 3.801 8.457
angles (deg): 90.00 90.00 90.00
Space group I4_1/amd (No. 141, origin choice 2)
Unique sites:
Zn: 0.000 0.250 0.375 (multiplicity 4)
Au: 0.000 0.250 0.875 (multiplicity 4)

***

Compound: ZnAu
Source: Alexandria via LeMat-Bulk
Functional: GGA-PBEsol
Structure: optimized geometry

Calculated values
M_tot   0.00 μB per formula unit
Energy of formation from the pure elements   -34 kJ/mol of formula units

a b c (Å): 2.821 10.471 4.292
angles (deg): 90.00 90.00 90.00
Space group Cmcm (No. 63)
Unique sites:
Zn: 0.000 0.160 0.250 (multiplicity 4)
Au: 0.000 0.411 0.250 (multiplicity 4)

***

Compound: ZnAu2
Source: Alexandria via LeMat-Bulk
Functional: GGA-PBEsol
Structure: optimized geometry

Calculated values
M_tot   0.00 μB per formula unit
Energy of formation from the pure elements   -22 kJ/mol of formula units

a b c (Å): 11.577 11.577 11.577
angles (deg): 90.00 90.00 90.00
Space group Fd-3m (No. 227, origin choice 2)
Unique sites:
Zn: 0.033 0.033 0.217 (multiplicity 32)
Au: 0.000 0.000 0.000 (multiplicity 16)
Au: 0.058 0.375 0.875 (multiplicity 48)

***

Compound: ZnAu
Source: Alexandria via LeMat-Bulk
Functional: GGA-PBEsol
Structure: optimized geometry

Calculated values
M_tot   0.00 μB per formula unit
Energy of formation from the pure elements   -31 kJ/mol of formula units

a b c (Å): 2.9585 2.9585 4.1293
angles (deg): 90.00 90.00 120.00
Space group P-6m2 (No. 187)
Unique sites:
Zn: 0.0000 0.0000 0.0000 (multiplicity 1)
Au: 0.3333 0.6667 0.5000 (multiplicity 1)

***

Compound: ZnAu2
Source: Alexandria via LeMat-Bulk
Functional: GGA-PBEsol
Structure: optimized geometry

Calculated values
M_tot   0.00 μB per formula unit
Energy of formation from the pure elements   -42 kJ/mol of formula units

a b c (Å): 10.265 2.932 6.889
angles (deg): 90.00 111.36 90.00
Space group C2/m (No. 12)
Unique sites:
Zn: 0.179 0.000 0.156 (multiplicity 4)
Au: 0.048 0.500 0.824 (multiplicity 4)
Au: 0.143 0.000 0.539 (multiplicity 4)